(1)
Material: PHPb2F10
Method: DFT, PBE
State: relaxed

```
PHPb2F10
1.0
-2.6692 -2.9073 -2.4757
3.5823 -1.6809 -2.7952
0.5841 -7.7287 4.5832
Pb F H P
2 10 1 1
Cartesian
2.1346 -8.8778 -1.2523 Pb
-0.6375 -3.4391 0.5647 Pb
1.9879 -2.4591 -1.2060 F
0.7888 -8.8010 2.8668 F
-0.4908 -9.8578 0.5184 F
2.7273 -8.6949 1.5921 F
0.4450 -7.2390 -0.0818 F
0.7083 -3.5159 -3.5545 F
1.6716 -7.1620 -2.8034 F
-0.1745 -5.1549 2.1158 F
1.0521 -5.0779 -0.6058 F
-1.2301 -3.6220 -2.2797 F
0.7486 -6.1584 -0.3438 H
1.7911 -0.8404 -1.3976 P
```

## Properties
Electronic total energy in eV per atom: -4.895
N(E_F) in states/eV per cell: 0.00
Symmetry: P-1 (2)

***

(2)
Material: Cd2AgAu
Method: DFT, PBE
State: relaxed

```
Cd2AgAu
1.0
-3.6584 1.1566 0.7420
-2.7430 -0.2987 -2.7674
-3.6753 -6.0057 1.5319
Au Cd Ag
1 2 1
Cartesian
-4.2712 0.5571 -1.3451 Au
-2.5133 -1.2632 -0.1317 Cd
-3.2970 -4.4617 0.9903 Cd
-5.0334 -2.5539 -0.2538 Ag
```

## Properties
ΔE_f in eV/atom: 0.04
Offset from the most stable computed form in eV/atom: 0.1666
N(E_F) in states/eV per cell: 0.85
Symmetry: R3m (160)

***

(3)
Material: TbTmPt
Method: DFT, PBE
State: relaxed

```
TbTmPt
1.0
-2.5621 -3.9449 1.1338
2.2458 -4.2327 0.6724
0.3128 -1.8940 4.4414
Tm Tb Pt
1 1 1
Cartesian
-0.0017 -5.0358 3.1238 Tm
0.0000 0.0000 0.0000 Tb
-0.0009 -2.5179 1.5619 Pt
```

## Properties
ΔE_f in eV/atom: -0.89
Offset from the most stable computed form in eV/atom: 0.0140
N(E_F) in states/eV per cell: 2.05
Symmetry: F-43m (216)

***

(4)
Material: BaScIn2
Method: DFT, PBE
State: relaxed

```
BaScIn2
1.0
-4.6673 6.7100 -7.0990
-2.3431 5.0011 -9.3114
-5.5820 3.5195 -8.5824
Sc In Ba
1 2 1
Cartesian
-3.1481 3.8077 -6.2482 Sc
-6.4268 7.7732 -12.7555 In
-12.4619 15.0727 -24.7336 In
-9.4443 11.4230 -18.7446 Ba
```

## Properties
ΔE_f in eV/atom: -0.13
N(E_F) in states/eV per cell: 3.79
Symmetry: R-3m (166)

***

(5)
Material: Sc2CrCuC
Method: DFT, PBE
State: relaxed

```
Sc2CrCuC
1.0
-3.8566 0.4625 2.3444
-0.8645 -4.4196 -0.5502
1.8697 -0.7675 3.2272
C Cr Sc Cu
1 1 2 1
Cartesian
0.0000 0.0000 0.0000 C
0.9349 -0.3837 1.6136 Cr
-1.9283 0.2312 1.1722 Sc
-0.4322 -2.2098 -0.2751 Sc
-1.4256 -2.3623 2.5107 Cu
```

## Properties
ΔE_f in eV/atom: -0.21
N(E_F) in states/eV per cell: 3.37
Symmetry: P4/mmm (123)

***

(6)
Material: Nd6P2PdS3
Method: DFT, PBE
State: relaxed

```
Nd6P2PdS3
1.0
-3.0254 -1.9419 -2.0069
0.4740 -6.3061 5.3872
-4.5303 6.4754 4.7873
P Nd S Pd
2 6 3 1
Cartesian
-1.8516 -0.2716 3.0542 P
-5.2301 -1.5010 5.1134 P
-7.1859 -0.1702 6.7741 Nd
0.1042 -1.6025 1.3935 Nd
-3.5591 -2.1018 7.3991 Nd
-3.8042 0.9982 4.7690 Nd
-3.2775 -2.7709 3.3985 Nd
-3.5226 0.3291 0.7685 Nd
-1.6238 -3.4191 5.7562 S
-5.4579 1.6465 2.4114 S
-1.2757 -4.1240 1.6901 S
-1.5127 -0.9709 -1.0035 Pd
```

## Properties
Electronic total energy in eV per atom: -6.406
N(E_F) in states/eV per cell: 5.82
Symmetry: C2/m (12)

***

(7)
Material: CeDySeO2
Method: DFT, PBE
State: relaxed

```
CeDySeO2
1.0
-0.3333 3.5673 -1.5062
-1.6274 -1.5009 -3.1944
-4.5850 -0.4682 4.9202
O Dy Ce Se
2 1 1 1
Cartesian
-2.9891 2.0702 0.5502 O
-3.6362 -0.4639 -0.2939 O
-4.8143 1.4225 -0.5800 Dy
-1.6749 0.1701 0.7734 Ce
-5.5424 0.5627 2.5592 Se
```

## Properties
Electronic total energy in eV per atom: -7.777
N(E_F) in states/eV per cell: 5.83
Symmetry: I4mm (107)

***

(8)
Material: CdIn3Br
Method: DFT, PBE
State: relaxed

```
CdIn3Br
1.0
5.9474 0.0000 0.0000
0.0000 5.9474 0.0000
0.0000 0.0000 5.9474
In Br Cd
3 1 1
Cartesian
0.0000 0.0000 2.9737 In
0.0000 2.9737 0.0000 In
2.9737 0.0000 0.0000 In
0.0000 0.0000 0.0000 Br
2.9737 2.9737 2.9737 Cd
```

## Properties
Offset from the most stable computed form in eV/atom: 0.2092
N(E_F) in states/eV per cell: 3.04
Symmetry: Pm-3m (221)

***

(9)
Material: RbBaSb2I
Method: DFT, PBE
State: relaxed

```
RbBaSb2I
1.0
-3.1706 -1.8511 5.4860
-4.5069 -3.1372 -3.6633
3.7314 -5.6518 0.2495
Sb I Ba Rb
2 1 1 1
Cartesian
-1.5853 -0.9255 2.7430 Sb
-2.2535 -1.5686 -1.8317 Sb
1.8657 -2.8259 0.1247 I
0.0000 0.0000 0.0000 Ba
-1.9731 -5.3201 1.0361 Rb
```

## Properties
Offset from the most stable computed form in eV/atom: 0.0000
N(E_F) in states/eV per cell: 4.78
Symmetry: P4/mmm (123)

***

(10)
Material: CsSmAuSe2
Method: DFT, PBE
State: relaxed

```
CsSmAuSe2
1.0
5.0637 0.0000 0.0000
0.0000 8.4227 0.6702
0.0000 -1.8702 8.0269
Cs Sm Se Au
2 2 4 2
Cartesian
0.7088 2.8087 6.3553 Cs
4.3549 3.7438 2.3418 Cs
2.5033 -0.4676 2.0067 Sm
2.5604 -1.4027 6.0202 Sm
1.7848 1.8563 0.4192 Se
3.2789 0.9212 4.4327 Se
3.2789 4.6962 8.2778 Se
1.7848 5.6313 4.2644 Se
0.0000 0.0000 0.0000 Au
0.0000 -0.9351 4.0135 Au
```

## Properties
Electronic total energy in eV per atom: -4.269
N(E_F) in states/eV per cell: 5.77
Symmetry: P2/c (13)

***

(11)
Material: KZr2Sb
Method: DFT, PBE
State: relaxed

```
KZr2Sb
1.0
-4.5566 -1.9860 3.3562
1.8016 -3.8236 -4.2550
2.0534 -1.2872 2.0261
Zr Sb K
2 1 1
Cartesian
0.0000 0.0000 0.0000 Zr
-1.3775 -2.9048 -0.4494 Zr
1.9275 -2.5554 -1.1145 Sb
-1.2516 -1.6366 2.6912 K
```

## Properties
Electronic total energy in eV per atom: -5.056
N(E_F) in states/eV per cell: 4.50
Symmetry: Cmmm (65)

***

(12)
Material: TlBiICl2
Method: DFT, PBE
State: relaxed

```
TlBiICl2
1.0
-4.3155 3.1788 -1.2836
-3.4282 -4.0101 1.5945
-0.0172 2.4536 6.1339
Cl Tl I Bi
2 1 1 1
Cartesian
-2.1577 1.5894 -0.6418 Cl
-1.7141 -2.0051 0.7973 Cl
-3.8804 0.8112 3.2224 Tl
-0.0086 1.2268 3.0669 I
0.0000 0.0000 0.0000 Bi
```

## Properties
Electronic total energy in eV per atom: -2.916
N(E_F) in states/eV per cell: 2.06
Symmetry: P4/mmm (123)

***

(13)
Material: AcTh2Te5
Method: DFT, PBE
State: relaxed

```
AcTh2Te5
1.0
8.4571 0.0000 0.0000
0.0000 8.4571 0.0000
-4.2285 -4.2285 7.3690
Te Th Ac
10 4 2
Cartesian
4.2285 4.2285 0.0000 Te
-1.3159 -2.9127 5.2340 Te
7.1412 2.9127 2.1349 Te
2.9127 -1.3159 5.2340 Te
0.0000 0.0000 0.0000 Te
1.3159 2.9127 5.2340 Te
5.5444 7.1412 2.1349 Te
2.9127 1.3159 2.1349 Te
-2.9127 1.3159 5.2340 Te
1.3159 5.5444 2.1349 Te
1.2499 2.9787 0.0000 Th
5.4784 1.2499 0.0000 Th
7.2072 5.4784 0.0000 Th
2.9786 7.2072 0.0000 Th
4.2285 4.2285 3.6845 Ac
0.0000 0.0000 3.6845 Ac
```

## Properties
Electronic total energy in eV per atom: -5.666
N(E_F) in states/eV per cell: 2.02
Symmetry: I4/mcm (140)

***

(14)
Material: Pa4P2PtSe
Method: DFT, PBE
State: relaxed

```
Pa4P2PtSe
1.0
-2.1822 -1.5934 2.7720
4.4443 -5.5769 0.2930
4.9985 1.3979 4.7384
Pa Pt P Se
4 1 2 1
Cartesian
3.5295 -4.7373 2.7584 Pa
7.1460 -3.1703 3.8032 Pa
0.1146 -2.6021 4.0002 Pa
3.7311 -1.0351 5.0451 Pa
1.1311 -3.5851 1.5325 Pt
1.4082 -0.0977 3.7552 P
4.9985 1.3979 4.7384 P
4.7214 -2.0895 2.5157 Se
```

## Properties
Electronic total energy in eV per atom: -8.431
N(E_F) in states/eV per cell: 13.23
Symmetry: P2/m (10)

***

(15)
Material: MgMn2Ag
Method: DFT, PBE
State: relaxed

```
MgMn2Ag
1.0
4.9025 0.0376 -0.2260
4.0247 2.7997 -0.2260
1.1472 0.3646 4.8089
Mg Ag Mn
1 1 2
Cartesian
2.5222 0.8016 1.0826 Mg
5.0092 1.5920 2.1881 Ag
1.1914 0.3787 4.7425 Mn
7.5360 2.3951 3.3310 Mn
```

## Properties
ΔE_f in eV/atom: 0.30
N(E_F) in states/eV per cell: 3.12
Symmetry: Cm (8)

***

(16)
Material: PaTl2F11
Method: DFT, PBE
State: relaxed

```
PaTl2F11
1.0
-1.2409 -5.5108 5.6352
-6.3095 -5.7333 -1.3473
3.9289 -7.6268 -0.9444
F Pa Tl
22 2 4
Cartesian
-3.8016 -16.0678 2.8203 F
-0.6024 -6.8892 1.2032 F
-1.8107 -9.4355 1.6717 F
-5.1685 -8.1566 3.2071 F
1.8802 -8.4194 2.4539 F
-2.8435 -5.7165 0.4566 F
-0.9223 -9.0926 -1.0220 F
-1.8806 -13.9598 0.4567 F
0.0000 0.0000 0.0000 F
0.1801 -2.8031 0.5232 F
-2.6992 -9.7784 4.3655 F
0.2155 -10.5979 2.5314 F
-3.0191 -11.9817 2.1403 F
-3.8370 -8.2730 0.8120 F
-4.4176 -13.5221 3.7742 F
-5.1836 -10.8942 3.6011 F
-5.5017 -10.4515 0.8896 F
-1.7409 -4.9111 2.8868 F
0.7961 -5.3488 -0.4308 F
1.5470 -10.7143 0.1364 F
1.5621 -7.9767 -0.2576 F
-0.7780 -13.1544 2.8869 F
-2.7161 -14.1532 2.5076 Pa
-0.9054 -4.7177 0.8359 Pa
1.0057 -12.0594 3.8650 Tl
0.2032 -9.0408 0.9914 Tl
-3.8247 -9.8301 2.3521 Tl
-4.6272 -6.8116 -0.5215 Tl
```

## Properties
Electronic total energy in eV per atom: -5.108
N(E_F) in states/eV per cell: 0.00
Symmetry: Ibam (72)

***

(17)
Material: PmCdAgBr6
Method: DFT, PBE
State: relaxed

```
PmCdAgBr6
1.0
-2.5337 5.5401 3.0663
-4.8947 0.3816 -4.7339
-7.4729 -7.3657 7.1331
Br Ag Cd Pm
12 2 2 2
Cartesian
-4.6878 -0.7096 1.8883 Br
-7.7288 1.7146 1.2056 Br
-9.2475 -1.6570 7.4170 Br
-10.1820 -0.8021 3.6125 Br
-8.1398 -2.2623 0.3331 Br
-9.7031 -5.5364 6.5985 Br
-10.6420 -4.7037 2.8100 Br
-5.6953 0.1509 -1.9868 Br
-4.2656 3.2746 2.7365 Br
-12.6135 -3.2164 5.9451 Br
-6.7038 0.8751 5.0773 Br
-7.2518 -3.1380 4.2703 Br
-7.4456 -0.7170 2.7279 Ag
-7.4678 -7.3606 7.1283 Ag
-2.4880 -2.4523 2.3749 Cd
-9.9387 -3.1744 5.1077 Cd
-4.9776 1.7155 0.3722 Pm
-4.9999 -4.9281 4.7726 Pm
```

## Properties
Electronic total energy in eV per atom: -3.208
N(E_F) in states/eV per cell: 0.00
Symmetry: P4_2nm (102)

***

(18)
Material: Zr2AgHgH
Method: DFT, PBE
State: relaxed

```
Zr2AgHgH
1.0
-0.7509 -4.0592 -1.3720
-1.0429 -1.1779 4.0557
-4.3102 1.0672 -0.7984
Ag H Zr Hg
1 1 2 1
Cartesian
-3.0520 -2.0849 0.9426 Ag
0.0000 0.0000 0.0000 H
-0.3755 -2.0296 -0.6860 Zr
-0.5215 -0.5889 2.0278 Zr
-2.1551 0.5336 -0.3992 Hg
```

## Properties
Offset from the most stable computed form in eV/atom: 0.1016
N(E_F) in states/eV per cell: 3.28
Symmetry: P4/mmm (123)

***

(19)
Material: Sr2CaAs
Method: DFT, PBE
State: relaxed

```
Sr2CaAs
1.0
-0.1168 8.7856 0.9707
-0.3039 6.0338 6.4531
3.2437 -7.1359 -4.0867
Sr As Ca
2 1 1
Cartesian
-0.3828 13.4827 6.7542 Sr
-0.2484 8.7465 4.3816 Sr
1.4582 4.5297 0.2980 As
1.3647 3.1539 3.0392 Ca
```

## Properties
ΔE_f in eV/atom: -0.56
N(E_F) in states/eV per cell: 3.01
Symmetry: Immm (71)

***

(20)
Material: BeMoPd
Method: DFT, PBE
State: relaxed

```
BeMoPd
1.0
-0.1807 0.1922 -3.4345
2.8227 -1.1788 -0.2145
-4.0602 -6.3452 -0.1418
Be Pd Mo
2 2 2
Cartesian
-2.5856 -5.2439 -0.6551 Be
-2.1718 -4.0030 -2.3344 Be
-0.4766 -4.1933 -0.7058 Pd
-1.3137 -1.8760 -2.2586 Pd
-1.6220 -6.5535 -2.5055 Mo
0.7792 -1.2507 -0.6062 Mo
```

## Properties
ΔE_f in eV/atom: -0.19
Offset from the most stable computed form in eV/atom: 0.0522
N(E_F) in states/eV per cell: 2.60
Symmetry: Pm (6)

***

(21)
Material: EuHoZnSn
Method: DFT, PBE
State: relaxed

```
EuHoZnSn
1.0
-4.7103 -1.2127 -2.0962
-1.0328 -4.9760 -1.4915
-3.4492 -2.9281 2.7534
Eu Ho Sn Zn
1 1 1 1
Cartesian
0.0000 0.0000 0.0000 Eu
-4.5961 -4.5584 -0.4172 Ho
-2.2981 -2.2792 -0.2086 Sn
-6.8942 -6.8375 -0.6258 Zn
```

## Properties
ΔE_f in eV/atom: -0.47
N(E_F) in states/eV per cell: 2.88
Symmetry: F-43m (216)

***

(22)
Material: Na2ThTl9
Method: DFT, PBE
State: relaxed

```
Na2ThTl9
1.0
-0.0579 1.2900 4.6711
-4.7429 -0.9734 0.2100
2.9918 -13.7503 3.8345
Tl Th Na
9 1 2
Cartesian
-2.4004 0.1583 2.4406 Tl
2.4612 -10.8001 5.5272 Tl
0.1187 -11.9318 3.2966 Tl
0.4726 -1.6603 2.9784 Tl
-0.8756 -7.3619 2.0223 Tl
-1.8699 -2.7920 0.7479 Tl
-0.4062 -9.0070 4.9965 Tl
1.4669 -6.2302 4.2528 Tl
-1.4028 -4.4267 3.7192 Tl
0.0000 0.0000 0.0000 Th
2.0076 -9.2272 2.5731 Na
0.9841 -4.5232 1.2614 Na
```

## Properties
ΔE_f in eV/atom: -0.07
N(E_F) in states/eV per cell: 5.35
Symmetry: P4/mmm (123)

***

(23)
Material: V2NiS4
Method: DFT, PBE
State: relaxed

```
V2NiS4
1.0
5.9571 -0.0389 3.4054
-1.9100 5.6428 3.4054
0.0293 0.0406 6.8600
S V Ni
8 4 2
Cartesian
1.0526 1.4030 5.1774 S
0.1226 4.2606 6.8351 S
1.0666 1.4225 8.5180 S
3.0098 4.2219 5.1528 S
3.9895 1.3272 3.4057 S
3.9538 1.3839 6.8357 S
0.0870 4.3172 10.2651 S
3.0239 4.2414 8.4934 S
0.0000 0.0000 0.0000 V
2.9932 0.0009 5.1327 V
2.0382 2.8222 6.8354 V
2.9786 -0.0195 1.7027 V
4.0405 3.5233 10.2531 Ni
0.0359 2.1212 3.4177 Ni
```

## Properties
Offset from the most stable computed form in eV/atom: 0.0182
N(E_F) in states/eV per cell: 8.01
Symmetry: Fd-3m (227)